DFT (GGA-PBE) results for a relaxed structure of LiCN2F.

Cell: 4.197 4.197 3.313 Å, 90.00 90.00 90.00°
Atoms (fractional coordinates):
Li  0.000  0.000  0.000
C  0.500  0.500  0.500
N  0.000  0.500  0.000
N  0.500  0.000  0.000
F  0.000  0.000  0.500

Calculated values
Polymorph energy (0 for the lowest one) in kJ per mole of atoms: 178.5
DFT total energy in eV/cell: -18.0

DFT (GGA-PBE) results for a relaxed structure of LiCN2F.

Cell: 2.899 2.899 6.442 Å, 90.00 90.00 90.00°
Atoms (fractional coordinates):
Li  0.000  0.000  0.000
C  0.500  0.500  0.500
N  0.000  0.500  0.500
N  0.500  0.000  0.500
F  0.500  0.500  0.000

Calculated values
Polymorph energy (0 for the lowest one) in kJ per mole of atoms: 0.0
DFT total energy in eV/cell: -27.2

DFT (GGA-PBE) results for a relaxed structure of LiCNF2.

Cell: 4.338 4.338 2.487 Å, 90.00 90.00 90.00°
Atoms (fractional coordinates):
Li  0.000  0.000  0.000
C  0.500  0.500  0.500
N  0.500  0.500  0.000
F  0.000  0.500  0.500
F  0.500  0.000  0.500

Calculated values
Polymorph energy (0 for the lowest one) in kJ per mole of atoms: 0.0
DFT total energy in eV/cell: -26.8

DFT (GGA-PBE) results for a relaxed structure of LiCNF2.

Cell: 3.427 3.427 4.457 Å, 90.00 90.00 90.00°
Atoms (fractional coordinates):
Li  0.000  0.000  0.000
C  0.500  0.500  0.500
N  0.000  0.000  0.500
F  0.000  0.500  0.000
F  0.500  0.000  0.000

Calculated values
Polymorph energy (0 for the lowest one) in kJ per mole of atoms: 172.6
DFT total energy in eV/cell: -17.8

DFT (GGA-PBE) results for a relaxed structure of Na3LiY3P3CO15F2.

Cell: 11.247 11.247 11.247 Å, 90.00 90.00 90.00°
Atoms (fractional coordinates):
Na  0.010  0.335  0.335
Na  0.010  0.665  0.665
Na  0.335  0.010  0.335
Na  0.335  0.335  0.010
Na  0.335  0.665  0.990
Na  0.335  0.990  0.665
Na  0.665  0.010  0.665
Na  0.665  0.335  0.990
Na  0.665  0.665  0.010
Na  0.665  0.990  0.335
Na  0.990  0.335  0.665
Na  0.990  0.665  0.335
Li  0.201  0.201  0.799
Li  0.201  0.799  0.201
Li  0.799  0.201  0.201
Li  0.799  0.799  0.799
Y  0.000  0.000  0.315
Y  0.000  0.000  0.685
Y  0.000  0.315  0.000
Y  0.000  0.685  0.000
Y  0.254  0.500  0.500
Y  0.315  0.000  0.000
Y  0.500  0.254  0.500
Y  0.500  0.500  0.254
Y  0.500  0.500  0.746
Y  0.500  0.746  0.500
Y  0.685  0.000  0.000
Y  0.746  0.500  0.500
P  0.185  0.185  0.515
P  0.185  0.485  0.815
P  0.185  0.515  0.185
P  0.185  0.815  0.485
P  0.485  0.185  0.815
P  0.485  0.815  0.185
P  0.515  0.185  0.185
P  0.515  0.815  0.815
P  0.815  0.185  0.485
P  0.815  0.485  0.185
P  0.815  0.515  0.815
P  0.815  0.815  0.515
C  0.119  0.119  0.119
C  0.119  0.881  0.881
C  0.881  0.119  0.881
C  0.881  0.881  0.119
O  0.024  0.165  0.165
O  0.024  0.835  0.835
O  0.115  0.115  0.420
O  0.115  0.420  0.115
O  0.115  0.580  0.885
O  0.115  0.885  0.580
O  0.145  0.145  0.643
O  0.145  0.357  0.855
O  0.145  0.643  0.145
O  0.145  0.855  0.357
O  0.155  0.319  0.500
O  0.155  0.500  0.319
O  0.155  0.500  0.681
O  0.155  0.681  0.500
O  0.165  0.024  0.165
O  0.165  0.165  0.024
O  0.165  0.835  0.976
O  0.165  0.976  0.835
O  0.319  0.155  0.500
O  0.319  0.500  0.155
O  0.319  0.500  0.845
O  0.319  0.845  0.500
O  0.357  0.145  0.855
O  0.357  0.855  0.145
O  0.420  0.115  0.115
O  0.420  0.885  0.885
O  0.500  0.155  0.319
O  0.500  0.155  0.681
O  0.500  0.319  0.155
O  0.500  0.319  0.845
O  0.500  0.681  0.155
O  0.500  0.681  0.845
O  0.500  0.845  0.319
O  0.500  0.845  0.681
O  0.580  0.115  0.885
O  0.580  0.885  0.115
O  0.643  0.145  0.145
O  0.643  0.855  0.855
O  0.681  0.155  0.500
O  0.681  0.500  0.155
O  0.681  0.500  0.845
O  0.681  0.845  0.500
O  0.835  0.024  0.835
O  0.835  0.165  0.976
O  0.835  0.835  0.024
O  0.835  0.976  0.165
O  0.845  0.319  0.500
O  0.845  0.500  0.319
O  0.845  0.500  0.681
O  0.845  0.681  0.500
O  0.855  0.145  0.357
O  0.855  0.357  0.145
O  0.855  0.643  0.855
O  0.855  0.855  0.643
O  0.885  0.115  0.580
O  0.885  0.420  0.885
O  0.885  0.580  0.115
O  0.885  0.885  0.420
O  0.976  0.165  0.835
O  0.976  0.835  0.165
F  0.384  0.384  0.616
F  0.384  0.616  0.384
F  0.388  0.388  0.388
F  0.388  0.612  0.612
F  0.612  0.388  0.612
F  0.612  0.612  0.388
F  0.616  0.384  0.384
F  0.616  0.616  0.616

Calculated values
DFT total energy in eV/cell: -820.9